# 1
TlIrBr2: relaxed, GGA-PBE.

Lattice parameters (Å, degrees): 3.5191 3.5191 8.5153 90.00 90.00 90.00
Fractional positions:
Tl1 0.0000 0.0000 0.0000
Ir1 0.5000 0.5000 0.6659
Br1 0.0000 0.0000 0.5845
Br2 0.5000 0.5000 0.2184

Summary:
Total energy: -0.1201 hartree per atom
Symmetry: No. 99
Energy above the most stable polymorph in this dataset: 170 kJ/mol of formula units
Formation energy without anion corrections: 0.376 eV/atom
D(E_F): 3.2 states/eV/f.u.



# 2
TlIrBr2: relaxed, GGA-PBE.

Lattice parameters (Å, degrees): 5.0435 5.0435 5.0435 60.00 60.00 60.00
Fractional positions:
Tl1 0.0000 0.0000 0.0000
Ir1 0.2500 0.2500 0.2500
Br1 0.5000 0.5000 0.5000
Br2 0.7500 0.7500 0.7500

Summary:
Total energy: -0.1009 hartree per atom
Symmetry: No. 216
Energy above the most stable polymorph in this dataset: 372 kJ/mol of formula units
Formation energy without anion corrections: 0.899 eV/atom
D(E_F): 7.7 states/eV/f.u.



# 3
Tl2IrBr: relaxed, GGA-PBE.

Lattice parameters (Å, degrees): 8.4263 8.4263 8.4263 156.33 153.58 35.76
Fractional positions:
Tl1 0.0000 0.0000 0.0000
Tl2 0.7051 0.2051 0.5000
Ir1 0.5584 0.5584 0.0000
Br1 0.3229 0.8229 0.5000

Summary:
Total energy: -0.1316 hartree per atom
Symmetry: No. 44
Energy above the most stable polymorph in this dataset: 26 kJ/mol of formula units
Formation energy without anion corrections: 0.234 eV/atom
D(E_F): 3.1 states/eV/f.u.